Material: Ac3PrAs4
Method: DFT, PBE
State: optimized geometry

Summary:
Formation energy (eV/atom): -1.4745
Energy above the most stable polymorph in this dataset (meV/atom): 0
Symmetry: Cmmm, No. 65

a = 7.780 Å, b = 7.780 Å, c = 4.494 Å
α = 90.00°, β = 90.00°, γ = 109.41°
Positions (direct):
Ac 0.000 0.000 0.000
Ac 0.000 0.500 0.500
Ac 0.500 0.000 0.500
Pr 0.500 0.500 0.000
As 0.254 0.746 0.000
As 0.258 0.258 0.500
As 0.742 0.742 0.500
As 0.746 0.254 0.000

Material: SrLi2GaAu4
Method: DFT, PBE
State: optimized geometry

Summary:
Formation energy (eV/atom): -0.5248
Symmetry: R-3m, No. 166

a = 9.359 Å, b = 9.359 Å, c = 9.359 Å
α = 28.16°, β = 28.16°, γ = 28.16°
Positions (direct):
Sr 0.000 0.000 0.000
Li 0.235 0.235 0.235
Li 0.765 0.765 0.765
Ga 0.500 0.500 0.500
Au 0.131 0.131 0.131
Au 0.403 0.403 0.403
Au 0.597 0.597 0.597
Au 0.869 0.869 0.869

Material: TaSbNF2
Method: DFT, PBE
State: optimized geometry

Summary:
E_form (uncorrected) (eV per formula unit): 1.830
Energy above the most stable polymorph in this dataset (meV/atom): 1279
Symmetry: P4/mmm, No. 123

a = 4.212 Å, b = 4.212 Å, c = 4.771 Å
α = 90.00°, β = 90.00°, γ = 90.00°
Positions (direct):
Ta 0.000 0.000 0.000
Sb 0.500 0.500 0.500
N 0.500 0.500 0.000
F 0.000 0.500 0.500
F 0.500 0.000 0.500

Material: ErTm2Co2
Method: DFT, PBE
State: optimized geometry

Summary:
Formation energy (eV/atom): -0.2027
Energy above the most stable polymorph in this dataset (meV/atom): 9
Symmetry: P4/mbm, No. 127

a = 7.089 Å, b = 7.089 Å, c = 4.123 Å
α = 90.00°, β = 90.00°, γ = 90.00°
Positions (direct):
Er 0.000 0.000 0.000
Er 0.500 0.500 0.000
Tm 0.172 0.328 0.500
Tm 0.328 0.828 0.500
Tm 0.672 0.172 0.500
Tm 0.828 0.672 0.500
Co 0.113 0.613 0.000
Co 0.387 0.113 0.000
Co 0.613 0.887 0.000
Co 0.887 0.387 0.000

Material: Eu2CuO4
Method: DFT, PBE
State: optimized geometry

Summary:
E_form (uncorrected) (eV per formula unit): -14.814
Energy above the most stable polymorph in this dataset (meV/atom): 0
Symmetry: I4/mmm, No. 139

a = 6.685 Å, b = 6.685 Å, c = 6.685 Å
α = 145.88°, β = 145.88°, γ = 49.02°
Positions (direct):
Eu 0.148 0.148 0.000
Eu 0.852 0.852 0.000
Cu 0.500 0.500 0.000
O 0.000 0.500 0.500
O 0.250 0.750 0.500
O 0.500 0.000 0.500
O 0.750 0.250 0.500

Material: CaReMo
Method: DFT, PBE
State: optimized geometry

Summary:
Formation energy (eV/atom): 0.6306
Energy above the most stable polymorph in this dataset (meV/atom): 218
Symmetry: Fmm2, No. 42

a = 7.713 Å, b = 7.526 Å, c = 2.844 Å
α = 82.96°, β = 75.57°, γ = 21.47°
Positions (direct):
Ca 0.000 0.000 0.000
Re 0.324 0.324 0.676
Mo 0.686 0.686 0.314

Material: Zr2SnGe
Method: DFT, PBE
State: optimized geometry

Summary:
Formation energy (eV/atom): -0.3623
Symmetry: I-42d, No. 122

a = 6.212 Å, b = 6.212 Å, c = 6.212 Å
α = 104.25°, β = 104.25°, γ = 120.52°
Positions (direct):
Zr 0.105 0.625 0.980
Zr 0.375 0.355 0.480
Zr 0.645 0.125 0.020
Zr 0.875 0.895 0.520
Sn 0.250 0.750 0.500
Sn 0.500 0.500 0.000
Ge 0.000 0.000 0.000
Ge 0.750 0.250 0.500

Material: Pr3ErIr3
Method: DFT, PBE
State: optimized geometry

Summary:
Formation energy (eV/atom): -0.5399
Symmetry: C2/m, No. 12

a = 7.316 Å, b = 7.316 Å, c = 6.861 Å
α = 98.80°, β = 98.80°, γ = 82.65°
Positions (direct):
Pr 0.193 0.807 0.000
Pr 0.279 0.721 0.500
Pr 0.297 0.297 0.995
Pr 0.703 0.703 0.005
Pr 0.721 0.279 0.500
Pr 0.807 0.193 0.000
Er 0.211 0.211 0.452
Er 0.789 0.789 0.548
Ir 0.002 0.503 0.263
Ir 0.053 0.053 0.712
Ir 0.497 0.998 0.737
Ir 0.503 0.002 0.263
Ir 0.947 0.947 0.288
Ir 0.998 0.497 0.737

Material: La9Pr2Tl
Method: DFT, PBE
State: optimized geometry

Summary:
Formation energy (eV/atom): -0.0657
Symmetry: P4/mmm, No. 123

a = 5.166 Å, b = 5.166 Å, c = 15.853 Å
α = 90.00°, β = 90.00°, γ = 90.00°
Positions (direct):
La 0.000 0.000 0.000
La 0.000 0.000 0.331
La 0.000 0.000 0.669
La 0.000 0.500 0.161
La 0.000 0.500 0.500
La 0.000 0.500 0.839
La 0.500 0.000 0.161
La 0.500 0.000 0.500
La 0.500 0.000 0.839
Pr 0.500 0.500 0.329
Pr 0.500 0.500 0.671
Tl 0.500 0.500 0.000

Material: Ce3SiAs2Rh9
Method: DFT, PBE
State: optimized geometry

Summary:
E_form (uncorrected) (eV per formula unit): -7.898
Symmetry: P-3m1, No. 164

a = 6.742 Å, b = 6.742 Å, c = 7.461 Å
α = 90.00°, β = 90.00°, γ = 120.00°
Positions (direct):
Ce 0.000 0.000 0.000
Ce 0.333 0.667 0.712
Ce 0.667 0.333 0.288
Si 0.000 0.000 0.500
As 0.333 0.667 0.218
As 0.667 0.333 0.782
Rh 0.000 0.500 0.000
Rh 0.139 0.278 0.279
Rh 0.139 0.861 0.279
Rh 0.278 0.139 0.721
Rh 0.500 0.000 0.000
Rh 0.500 0.500 0.000
Rh 0.722 0.861 0.279
Rh 0.861 0.139 0.721
Rh 0.861 0.722 0.721

Material: Ta2SbAs
Method: DFT, PBE
State: optimized geometry

Summary:
E_form (uncorrected) (eV per formula unit): 0.464
Symmetry: C2/m, No. 12

a = 4.161 Å, b = 4.161 Å, c = 6.373 Å
α = 105.52°, β = 105.52°, γ = 51.84°
Positions (direct):
Ta 0.238 0.238 0.182
Ta 0.762 0.762 0.818
Sb 0.000 0.000 0.500
As 0.500 0.500 0.000

Material: CeZn2Co2P
Method: DFT, PBE
State: optimized geometry

Summary:
Formation energy (eV/atom): -0.3608
Symmetry: P4/mmm, No. 123

a = 4.222 Å, b = 4.222 Å, c = 5.579 Å
α = 90.00°, β = 90.00°, γ = 90.00°
Positions (direct):
Ce 0.000 0.000 0.000
Zn 0.500 0.500 0.234
Zn 0.500 0.500 0.766
Co 0.000 0.500 0.500
Co 0.500 0.000 0.500
P 0.000 0.000 0.500

| no. | ρ (g/cm³) |
| --- | --- |
| 1 | 7.26 |
| 2 | 9.87 |
| 3 | 6.96 |
| 4 | 9.98 |
| 5 | 7.66 |
| 6 | 9.61 |
| 7 | 6.93 |
| 8 | 10.87 |
| 9 | 6.81 |
| 10 | 8.62 |
| 11 | 11.20 |
| 12 | 7.01 |